Entry 1:
Material: Ca3Pb5
Method: DFT, PBE
State: relaxed

Space-group type: P6_3/mcm (193)
Calculated formation energy (eV/atom): -0.28
Energy above the most stable polymorph in this dataset (meV/atom): 120
Uncorrected energy (eV/atom): -3.35

Cell: 9.3835 9.3835 6.6665 Å, 90.00 90.00 120.00°
Last column: nearest neighbours and their distance in Å.
Atoms (fractional coordinates):
Ca (0.0000, 0.4079, 0.2500)  7 Pb 3.30-3.62
Ca (0.0000, 0.5921, 0.7500)  7 Pb 3.30-3.62
Ca (0.4079, 0.0000, 0.2500)  7 Pb 3.30-3.62
Ca (0.4079, 0.4079, 0.7500)  7 Pb 3.30-3.62
Ca (0.5921, 0.0000, 0.7500)  7 Pb 3.30-3.62
Ca (0.5921, 0.5921, 0.2500)  7 Pb 3.30-3.62
Pb (0.0000, 0.2059, 0.7500)  3 Ca 3.31-3.62, 2 Pb 3.35
Pb (0.0000, 0.7941, 0.2500)  3 Ca 3.31-3.62, 2 Pb 3.35
Pb (0.2059, 0.0000, 0.7500)  3 Ca 3.31-3.62, 2 Pb 3.35
Pb (0.2059, 0.2059, 0.2500)  3 Ca 3.31-3.62, 2 Pb 3.35
Pb (0.3333, 0.6667, 0.0000)  6 Ca 3.30, 2 Pb 3.33
Pb (0.3333, 0.6667, 0.5000)  6 Ca 3.30, 2 Pb 3.33
Pb (0.6667, 0.3333, 0.0000)  6 Ca 3.30, 2 Pb 3.33
Pb (0.6667, 0.3333, 0.5000)  6 Ca 3.30, 2 Pb 3.33
Pb (0.7941, 0.0000, 0.2500)  3 Ca 3.31-3.62, 2 Pb 3.35
Pb (0.7941, 0.7941, 0.7500)  3 Ca 3.31-3.62, 2 Pb 3.35


Entry 2:
Material: CaPb
Method: DFT, PBE
State: relaxed

Space-group type: P6_3/mmc (194)
Calculated formation energy (eV/atom): 0.03
Uncorrected energy (eV/atom): -2.83

Cell: 5.6217 5.6217 6.3740 Å, 90.00 90.00 120.00°
Last column: nearest neighbours and their distance in Å.
Atoms (fractional coordinates):
Ca (0.3333, 0.6667, 0.2500)  5 Pb 3.19-3.25
Ca (0.6667, 0.3333, 0.7500)  5 Pb 3.19-3.25
Pb (0.3333, 0.6667, 0.7500)  5 Ca 3.19-3.25
Pb (0.6667, 0.3333, 0.2500)  5 Ca 3.19-3.25